[1]
Entry from the Alexandria database: a PBEsol-optimized structure of ZrMn2Zn (SCAN).

Cell and atoms, written as CIF:
```
data_ZrMn2Zn
_symmetry_space_group_name_H-M 'P 1'
_symmetry_Int_Tables_number 1
_symmetry_space_group_name_Hall 'P 1'
_cell_length_a 4.8951
_cell_length_b 4.8951
_cell_length_c 4.8951
_cell_angle_alpha 134.88
_cell_angle_beta 134.88
_cell_angle_gamma 65.72
loop_
_atom_site_label
_atom_site_type_symbol
_atom_site_fract_x
_atom_site_fract_y
_atom_site_fract_z
Zr1 Zr 0.0000 0.0000 0.0000
Mn1 Mn 0.2500 0.7500 0.5000
Mn2 Mn 0.5000 0.5000 0.0000
Zn1 Zn 0.7500 0.2500 0.5000
```

Properties
**Spin magnetization**: 5.50 μB per cell
**DFT formation energy**: -167 meV/atom

---

[2]
Entry from the Alexandria database: a PBEsol-optimized structure of Zr2MnZn (SCAN).

Cell and atoms, written as CIF:
```
data_Zr2MnZn
_symmetry_space_group_name_H-M 'P 1'
_symmetry_Int_Tables_number 1
_symmetry_space_group_name_Hall 'P 1'
_cell_length_a 3.2071
_cell_length_b 3.2071
_cell_length_c 6.4944
_cell_angle_alpha 90.00
_cell_angle_beta 90.00
_cell_angle_gamma 90.00
loop_
_atom_site_label
_atom_site_type_symbol
_atom_site_fract_x
_atom_site_fract_y
_atom_site_fract_z
Zr1 Zr 0.0000 0.0000 0.2326
Zr2 Zr 0.0000 0.0000 0.7674
Mn1 Mn 0.5000 0.5000 0.0000
Zn1 Zn 0.5000 0.5000 0.5000
```

Properties
**Spin magnetization**: 0.00 μB per cell
**DFT formation energy**: -250 meV/atom

---

[3]
Entry from the Alexandria database: a PBEsol-optimized structure of Zr6Mn7 (SCAN).

Cell and atoms, written as CIF:
```
data_Zr6Mn7
_symmetry_space_group_name_H-M 'P 1'
_symmetry_Int_Tables_number 1
_symmetry_space_group_name_Hall 'P 1'
_cell_length_a 9.9739
_cell_length_b 9.9739
_cell_length_c 9.9739
_cell_angle_alpha 28.26
_cell_angle_beta 28.26
_cell_angle_gamma 28.26
loop_
_atom_site_label
_atom_site_type_symbol
_atom_site_fract_x
_atom_site_fract_y
_atom_site_fract_z
Zr1 Zr 0.0504 0.0504 0.0504
Zr2 Zr 0.1508 0.1508 0.1508
Zr3 Zr 0.3331 0.3331 0.3331
Zr4 Zr 0.6669 0.6669 0.6669
Zr5 Zr 0.8492 0.8492 0.8492
Zr6 Zr 0.9496 0.9496 0.9496
Mn1 Mn 0.0937 0.5960 0.5960
Mn2 Mn 0.4040 0.4040 0.9063
Mn3 Mn 0.4040 0.9063 0.4040
Mn4 Mn 0.5000 0.5000 0.5000
Mn5 Mn 0.5960 0.0937 0.5960
Mn6 Mn 0.5960 0.5960 0.0937
Mn7 Mn 0.9063 0.4040 0.4040
```

Properties
**Spin magnetization**: 4.24 μB per cell
**DFT formation energy**: -40 meV/atom

---

[4]
Entry from the Alexandria database: a PBEsol-optimized structure of ZrMn4 (SCAN).

Cell and atoms, written as CIF:
```
data_ZrMn4
_symmetry_space_group_name_H-M 'P 1'
_symmetry_Int_Tables_number 1
_symmetry_space_group_name_Hall 'P 1'
_cell_length_a 5.3039
_cell_length_b 5.3039
_cell_length_c 5.3039
_cell_angle_alpha 138.17
_cell_angle_beta 138.17
_cell_angle_gamma 60.65
loop_
_atom_site_label
_atom_site_type_symbol
_atom_site_fract_x
_atom_site_fract_y
_atom_site_fract_z
Zr1 Zr 0.0000 0.0000 0.0000
Mn1 Mn 0.2500 0.7500 0.5000
Mn2 Mn 0.3776 0.3776 0.0000
Mn3 Mn 0.6224 0.6224 0.0000
Mn4 Mn 0.7500 0.2500 0.5000
```

Properties
**Distance to the lowest polymorph of the same formula**: 0.00 kcal/mol of atoms
**Spin magnetization**: 0.00 μB per cell
**DFT formation energy**: 14 meV/atom